VASP calculation (PBE-GGA) on a relaxed NaPm2Sm crystal.

a = 13.0846 Å, b = 13.0846 Å, c = 13.0846 Å
α = 15.71°, β = 15.71°, γ = 15.71°
Last column: nearest neighbours and their distance in Å.
Element x y z (fractional)
Na 0.0000 0.0000 0.0000  2 Pm 3.55, 6 Na 3.58
Pm 0.0915 0.0915 0.0915  1 Na 3.55, 3 Sm 3.57, 6 Pm 3.58
Pm 0.9085 0.9085 0.9085  1 Na 3.55, 3 Sm 3.57, 6 Pm 3.58
Sm 0.5000 0.5000 0.5000  6 Pm 3.57, 6 Sm 3.58

Properties
Distance to the lowest polymorph of the same formula: 37.3 meV/atom
Final energy: -3.7427 eV/atom
E_form: 13.7 kJ per mole of atoms
Density of states at the Fermi level: 1.23 states/eV per atom

***

VASP calculation (PBE-GGA) on a relaxed NbAl2N crystal.

a = 5.2694 Å, b = 5.2694 Å, c = 5.2694 Å
α = 103.28°, β = 103.28°, γ = 122.72°
Last column: nearest neighbours and their distance in Å.
Element x y z (fractional)
Nb 0.0000 0.0000 0.0000  2 N 2.53, 4 Al 2.70
Nb 0.7500 0.2500 0.5000  2 N 2.53, 4 Al 2.70
Al 0.2180 0.6250 0.0930  2 N 2.03
Al 0.3750 0.4680 0.5930  2 N 2.03
Al 0.5320 0.1250 0.9070  2 N 2.03
Al 0.8750 0.7820 0.4070  2 N 2.03
N 0.2500 0.7500 0.5000  4 Al 2.03
N 0.5000 0.5000 0.0000  4 Al 2.03

Properties
Final energy: -6.5413 eV/atom
Uncorrected formation energy: -27 kJ/mol of formula units
Density of states at the Fermi level: 0.70 states/eV per atom